# MgMnBr2

A relaxed MgMnBr2 crystal (PBE, Alexandria via LeMat-Bulk).

E_form (uncorrected)	-0.247	eV/atom
E above lowest polymorph	293	meV/atom
E	-15.10	eV/f.u.
space group	Cmmm

a = 3.7176 Å, b = 3.7176 Å, c = 9.8978 Å
α = 90.00°, β = 90.00°, γ = 120.47°
Each line ends with the local moment (μB).
Positions (direct):
Br 0.0000 0.0000 0.9317  0.08
Br 0.0000 0.0000 0.5683  0.08
Mg 0.5000 0.5000 0.2500  -0.01
Mn 0.5000 0.5000 0.7500  4.21